PrErTl | GGA-PBE | optimized geometry

Unit cell a=6.2627 b=3.4568 c=8.6889 alpha=90.00 beta=90.00 gamma=90.00
Closest atoms and distances in Å follow each position.
Positions (direct):
1 Pr 0.2500 0.0000 0.1629  2 Pr 3.46, 6 Tl 3.46-3.58, 4 Er 3.74
2 Pr 0.7500 0.0000 0.8371  2 Pr 3.46, 6 Tl 3.46-3.58, 4 Er 3.74
3 Er 0.0000 0.5000 0.5000  4 Er 3.13-3.46, 2 Tl 3.17
4 Er 0.5000 0.5000 0.5000  4 Er 3.13-3.46, 2 Tl 3.17
5 Tl 0.2500 0.5000 0.8177  2 Er 3.17, 2 Tl 3.46, 2 Pr 3.46
6 Tl 0.7500 0.5000 0.1823  2 Er 3.17, 2 Tl 3.46, 2 Pr 3.46

## Properties
Relative energy among the computed polymorphs, meV/atom: 152.0
Energy, eV per atom: -4.003

***

NbCo3Ru | GGA-PBE | optimized geometry

Unit cell a=4.3685 b=4.3685 c=4.3685 alpha=90.00 beta=90.00 gamma=90.00
Closest atoms and distances in Å follow each position.
Positions (direct):
1 Nb 0.0000 0.0000 0.0000  12 Co 3.09
2 Co 0.0000 0.5000 0.5000  2 Ru 2.18
3 Co 0.5000 0.0000 0.5000  2 Ru 2.18
4 Co 0.5000 0.5000 0.0000  2 Ru 2.18
5 Ru 0.5000 0.5000 0.5000  6 Co 2.18

## Properties
Relative energy among the computed polymorphs, meV/atom: 0.0
Energy, eV per atom: -6.735

***

PaMnAu6 | GGA-PBE | optimized geometry

Unit cell a=8.2843 b=8.2843 c=8.2843 alpha=38.68 beta=38.68 gamma=38.68
Closest atoms and distances in Å follow each position.
Positions (direct):
1 Pa 0.0000 0.0000 0.0000  6 Au 2.88
2 Mn 0.5000 0.5000 0.5000  12 Au 3.10
3 Au 0.0655 0.0655 0.5576  5 Au 2.70-2.89, 1 Pa 2.88
4 Au 0.0655 0.5576 0.0655  5 Au 2.70-2.89, 1 Pa 2.88
5 Au 0.4424 0.9345 0.9345  5 Au 2.70-2.89, 1 Pa 2.88
6 Au 0.5576 0.0655 0.0655  5 Au 2.70-2.89, 1 Pa 2.88
7 Au 0.9345 0.4424 0.9345  5 Au 2.70-2.89, 1 Pa 2.88
8 Au 0.9345 0.9345 0.4424  5 Au 2.70-2.89, 1 Pa 2.88

## Properties
Energy, eV per atom: -4.578

***

K5Hg6Pd | GGA-PBE | optimized geometry

Unit cell a=9.8776 b=9.8776 c=5.6597 alpha=106.56 beta=106.56 gamma=120.14
Closest atoms and distances in Å follow each position.
Positions (direct):
1 K 0.0000 0.0000 0.0000  4 Hg 3.36
2 K 0.1559 0.8441 0.5000  8 Hg 3.68-3.92, 6 K 3.83-4.10
3 K 0.3066 0.6934 0.0000  8 Hg 3.41-3.80
4 K 0.6934 0.3066 0.0000  8 Hg 3.41-3.80
5 K 0.8441 0.1559 0.5000  8 Hg 3.68-3.92, 6 K 3.83-4.10
6 Hg 0.1646 0.4356 0.3008  1 Pd 2.83
7 Hg 0.3124 0.3124 0.8108  1 Hg 3.04, 2 Pd 3.20-3.22
8 Hg 0.4356 0.1646 0.3008  1 Pd 2.83
9 Hg 0.5644 0.8354 0.6992  1 Pd 2.83
10 Hg 0.6876 0.6876 0.1892  1 Hg 3.04, 2 Pd 3.20-3.22
11 Hg 0.8354 0.5644 0.6992  1 Pd 2.83
12 Pd 0.5000 0.5000 0.5000  4 Hg 2.83

## Properties
Energy, eV per atom: -1.245

***

TlBi2OsC | GGA-PBE | optimized geometry

Unit cell a=4.9820 b=4.9820 c=4.4705 alpha=90.00 beta=90.00 gamma=90.00
Closest atoms and distances in Å follow each position.
Positions (direct):
1 Tl 0.0000 0.0000 0.0000  2 C 2.24
2 Bi 0.0000 0.5000 0.5000  2 C 2.49
3 Bi 0.5000 0.0000 0.5000  2 C 2.49
4 Os 0.5000 0.5000 0.0000  8 Bi 3.35, 4 Tl 3.52
5 C 0.0000 0.0000 0.5000  2 Tl 2.24, 4 Bi 2.49

## Properties
Relative energy among the computed polymorphs, meV/atom: 828.2
Energy, eV per atom: -4.454

***

NbSb3Os | GGA-PBE | optimized geometry

Unit cell a=5.2688 b=5.2688 c=5.2688 alpha=90.00 beta=90.00 gamma=90.00
Closest atoms and distances in Å follow each position.
Positions (direct):
1 Nb 0.0000 0.0000 0.0000  6 Sb 2.63
2 Sb 0.0000 0.0000 0.5000  2 Nb 2.63
3 Sb 0.0000 0.5000 0.0000  2 Nb 2.63
4 Sb 0.5000 0.0000 0.0000  2 Nb 2.63
5 Os 0.5000 0.5000 0.5000  12 Sb 3.73

## Properties
Relative energy among the computed polymorphs, meV/atom: 315.0
Formation energy without anion corrections, eV/atom: 1.440
Energy, eV per atom: -5.293

***

K2Tl3PbI6 | GGA-PBE | optimized geometry

Unit cell a=8.4575 b=8.4575 c=9.1072 alpha=99.13 beta=99.13 gamma=120.92
Closest atoms and distances in Å follow each position.
Positions (direct):
1 K 0.1632 0.8368 0.0000  6 I 3.54-3.55
2 K 0.8368 0.1632 0.0000  6 I 3.54-3.55
3 Tl 0.0000 0.0000 0.5000  6 I 3.56-3.66
4 Tl 0.3271 0.6729 0.5000  6 I 3.55-3.66
5 Tl 0.6729 0.3271 0.5000  6 I 3.55-3.66
6 Pb 0.5000 0.5000 0.0000  6 I 3.34-3.43
7 I 0.1065 0.4233 0.7643  1 Pb 3.34, 2 K 3.54-3.55, 3 Tl 3.56-3.66
8 I 0.2668 0.2668 0.2495  1 Pb 3.43, 3 Tl 3.55-3.66, 2 K 3.55
9 I 0.4233 0.1065 0.7643  1 Pb 3.34, 2 K 3.54-3.55, 3 Tl 3.56-3.66
10 I 0.5767 0.8935 0.2357  1 Pb 3.34, 2 K 3.54-3.55, 3 Tl 3.56-3.66
11 I 0.7332 0.7332 0.7505  1 Pb 3.43, 3 Tl 3.55-3.66, 2 K 3.55
12 I 0.8935 0.5767 0.2357  1 Pb 3.34, 2 K 3.54-3.55, 3 Tl 3.56-3.66

## Properties
Formation energy without anion corrections, eV/atom: -0.805
Energy, eV per atom: -2.664

***

NdRhAu | GGA-PBE | optimized geometry

Unit cell a=10.3527 b=8.0386 c=7.4970 alpha=83.50 beta=50.49 gamma=46.01
Closest atoms and distances in Å follow each position.
Positions (direct):
1 Nd 0.0146 0.7339 0.2661  4 Rh 2.80-2.83
2 Nd 0.2661 0.9854 0.0146  4 Rh 2.80-2.83
3 Nd 0.7339 0.0146 0.9854  4 Rh 2.80-2.83
4 Nd 0.9854 0.2661 0.7339  4 Rh 2.80-2.83
5 Rh 0.1359 0.4830 0.5170  2 Au 2.76-2.90, 4 Nd 2.80-2.83, 1 Rh 2.81
6 Rh 0.4830 0.1359 0.8641  2 Au 2.76-2.90, 4 Nd 2.80-2.83, 1 Rh 2.81
7 Rh 0.5170 0.8641 0.1359  2 Au 2.76-2.90, 4 Nd 2.80-2.83, 1 Rh 2.81
8 Rh 0.8641 0.5170 0.4830  2 Au 2.76-2.90, 4 Nd 2.80-2.83, 1 Rh 2.81
9 Au 0.3232 0.6768 0.3232  2 Rh 2.90, 2 Au 2.96, 2 Nd 3.20
10 Au 0.3947 0.3947 0.6053  2 Rh 2.76, 2 Au 2.96
11 Au 0.6053 0.6053 0.3947  2 Rh 2.76, 2 Au 2.96
12 Au 0.6768 0.3232 0.6768  2 Rh 2.90, 2 Au 2.96, 2 Nd 3.20

## Properties
Relative energy among the computed polymorphs, meV/atom: 128.7
Energy, eV per atom: -5.585

***

Among the records above, which one has the highest energy? K5Hg6Pd

***

Which value of energy does entry 5 give? -4.454 eV per atom

***

Which value of energy does entry 8 give? -5.585 eV per atom